# 1
{
  "formula": "Rb3Hg4Pd",
  "functional": "PBE-GGA",
  "state": "relaxed",
  "lattice_angstrom": [[-3.2594, 4.2644, 5.2607], [3.2594, -4.2644, 5.2607], [3.2594, 4.2644, -5.2607]],
  "species": ["Rb", "Rb", "Rb", "Hg", "Hg", "Hg", "Hg", "Pd"],
  "fractional_positions": [[0.0000, 0.0000, 0.0000], [0.1663, 0.3865, 0.7797], [0.6068, 0.3865, 0.2203], [0.0400, 0.7220, 0.3180], [0.4040, 0.7220, 0.6820], [0.6592, 0.4033, 0.7441], [0.6592, 0.9151, 0.2559], [0.4412, 0.9412, 0.5000]],
  "e_above_lowest_polymorph_ev_per_atom": 0.000,
  "dft_energy_ev_per_fu": -10.80
}

---

# 2
{
  "formula": "ReAu2Cl",
  "functional": "PBE-GGA",
  "state": "relaxed",
  "lattice_angstrom": [[2.9692, 0.0000, 0.0000], [0.0000, 2.9692, 0.0000], [0.0000, 0.0000, 8.0933]],
  "species": ["Re", "Au", "Au", "Cl"],
  "fractional_positions": [[0.0000, 0.0000, 0.0000], [0.5000, 0.5000, 0.2302], [0.5000, 0.5000, 0.7698], [0.0000, 0.0000, 0.5000]],
  "e_above_lowest_polymorph_ev_per_atom": 0.223,
  "formation_energy_uncorrected_mev_per_atom": 578,
  "dft_energy_ev_per_fu": -18.54
}

---

# 3
{
  "formula": "NbAlFe2H",
  "functional": "PBE-GGA",
  "state": "relaxed",
  "lattice_angstrom": [[3.7729, 0.0000, 0.0000], [0.0000, 3.7729, 0.0000], [0.0000, 0.0000, 4.1258]],
  "species": ["Nb", "Al", "Fe", "Fe", "H"],
  "fractional_positions": [[0.0000, 0.0000, 0.0000], [0.5000, 0.5000, 0.0000], [0.0000, 0.5000, 0.5000], [0.5000, 0.0000, 0.5000], [0.0000, 0.0000, 0.5000]],
  "dft_energy_ev_per_fu": -34.56
}

---

# 4
{
  "formula": "La5CeSm",
  "functional": "PBE-GGA",
  "state": "relaxed",
  "lattice_angstrom": [[6.2493, 0.0000, 0.0000], [-2.4114, 5.7656, 0.0000], [-1.0570, -1.6012, 7.0349]],
  "species": ["La", "La", "La", "La", "La", "Ce", "Sm"],
  "fractional_positions": [[0.0000, 0.0000, 0.0000], [0.1199, 0.5428, 0.2686], [0.4579, 0.8790, 0.7307], [0.5421, 0.1210, 0.2693], [0.8801, 0.4572, 0.7314], [0.5000, 0.5000, 0.0000], [0.0000, 0.0000, 0.5000]],
  "dft_energy_ev_per_fu": -33.87
}